No. 1
Entry from Alexandria via LeMat-Bulk: a relaxed structure of NaZr2F2 (PBE).

Values from the calculation:
* raw formation energy: -24.44 kcal/mol of atoms

Structure (POSCAR):
```
NaZr2F2
1.0
4.041 0.000 0.000
0.000 4.041 0.000
2.020 2.020 5.543
Zr F Na
2 2 1
direct
0.373 0.373 0.254 Zr
0.627 0.627 0.746 Zr
0.250 0.750 0.500 F
0.750 0.250 0.500 F
0.000 0.000 0.000 Na
```

No. 2
Entry from Alexandria via LeMat-Bulk: a relaxed structure of PmGdTm2 (PBE).

Values from the calculation:
* formation enthalpy at 0 K: 25 meV/atom

Structure (POSCAR):
```
PmGdTm2
1.0
3.557 0.000 0.000
1.778 3.080 0.000
1.778 1.027 11.521
Tm Pm Gd
2 1 1
direct
0.750 0.750 0.749 Tm
0.250 0.250 0.251 Tm
0.000 0.000 0.000 Pm
0.500 0.500 0.500 Gd
```

No. 3
Entry from Alexandria via LeMat-Bulk: a relaxed structure of CaAc3Si2N6 (PBE).

Values from the calculation:
* raw formation energy: -23.03 kcal/mol of atoms

Structure (POSCAR):
```
CaAc3Si2N6
1.0
-2.095 -5.333 1.699
3.949 2.890 3.431
-5.161 3.091 3.338
N Ac Si Ca
6 3 2 1
direct
0.650 0.825 0.279 N
0.350 0.175 0.721 N
0.825 0.650 0.721 N
0.175 0.825 0.279 N
0.825 0.175 0.721 N
0.175 0.350 0.279 N
0.667 0.333 0.328 Ac
0.333 0.667 0.672 Ac
0.000 0.000 0.000 Ac
0.667 0.333 0.774 Si
0.333 0.667 0.226 Si
0.000 0.000 0.500 Ca
```

No. 4
Entry from Alexandria via LeMat-Bulk: a relaxed structure of MnSnMoP (PBE).

Values from the calculation:
* formation enthalpy at 0 K: -35 meV/atom

Structure (POSCAR):
```
MnSnMoP
1.0
-2.003 -4.617 -4.299
1.751 -2.419 1.783
-4.079 0.291 4.401
Mn Mo Sn P
2 2 2 2
direct
0.933 0.500 0.389 Mn
0.933 0.000 0.889 Mn
0.272 0.000 0.670 Mo
0.272 0.500 0.170 Mo
0.606 0.500 0.615 Sn
0.606 0.000 0.115 Sn
0.057 0.000 0.264 P
0.057 0.500 0.764 P
```

No. 5
Entry from Alexandria via LeMat-Bulk: a relaxed structure of Ac4PrTl5 (PBE).

Values from the calculation:
* formation enthalpy at 0 K: -358 meV/atom

Structure (POSCAR):
```
Ac4PrTl5
1.0
-4.048 -0.065 0.116
0.024 -3.835 -1.305
0.676 -6.735 19.807
Ac Tl Pr
4 5 1
direct
0.000 0.000 0.397 Ac
0.000 0.000 0.808 Ac
0.000 0.000 0.192 Ac
0.000 0.000 0.603 Ac
0.500 0.500 0.500 Tl
0.500 0.500 0.911 Tl
0.500 0.500 0.089 Tl
0.500 0.500 0.706 Tl
0.500 0.500 0.294 Tl
0.000 0.000 0.000 Pr
```

No. 6
Entry from Alexandria via LeMat-Bulk: a relaxed structure of Co2TcBr (PBE).

Values from the calculation:
* raw formation energy: 14.15 kcal/mol of atoms

Structure (POSCAR):
```
Co2TcBr
1.0
-3.645 -1.534 1.112
-2.647 -2.848 -1.326
2.563 -4.750 3.610
Co Tc Br
2 1 1
direct
0.202 0.202 0.258 Co
0.920 0.920 0.101 Co
0.472 0.472 0.408 Tc
0.906 0.906 0.733 Br
```